A relaxed structure of TaAg2Sb, computed with GGA-PBE.

a b c (Å): 3.0683 4.4121 5.7989
angles (deg): 90.00 90.00 90.00
Last column: nearest neighbours and their distance in Å.
Atoms (fractional coordinates):
Ag: 0.0000 0.0000 0.5147  1 Ag 2.73, 4 Ta 3.01
Ag: 0.0000 0.0000 0.9853  1 Ag 2.73, 4 Ta 3.01
Sb: 0.5000 0.5000 0.2500  2 Ta 2.90, 2 Sb 3.07, 8 Ag 3.09
Ta: 0.5000 0.5000 0.7500  2 Sb 2.90, 8 Ag 3.01, 2 Ta 3.07

Space group: Pmmm
Formation energy without anion corrections (eV per atom): 0.364
Uncorrected energy (eV/atom): -5.0552